Run A
Below is a geometry-optimized LiEu2Tm structure, with properties calculated at the PBE level.

```
LiEu2Tm
1.0
-1.862 4.140 3.584
-1.452 -1.323 5.440
3.340 1.742 4.389
Eu Tm Li
2 1 1
Direct
0.250 0.250 0.250
0.750 0.750 0.750
0.000 0.000 0.000
0.500 0.500 0.500
```

Values from the calculation:
DOS at the Fermi energy	10.39	states/eV per cell
symmetry	Fm-3m

=====

Run B
Below is a geometry-optimized LiEu2Tm structure, with properties calculated at the PBE level.

```
LiEu2Tm
1.0
-1.733 2.045 2.308
-3.528 -0.163 0.206
-0.844 -8.255 9.389
Eu Tm Li
2 1 1
Direct
0.090 0.090 0.731
0.910 0.910 0.269
0.000 0.000 0.000
0.500 0.500 0.500
```

Values from the calculation:
DOS at the Fermi energy	5.02	states/eV per cell
symmetry	R-3m

=====

Result of the stability comparison: run A is the most stable of them.

=====

Run A
Below is a geometry-optimized Eu3Lu structure, with properties calculated at the PBE level.

```
Eu3Lu
1.0
-0.761 0.111 -3.642
-2.706 -5.853 0.387
-3.751 5.488 2.854
Eu Lu
3 1
Direct
0.257 0.593 0.514
0.500 0.495 0.000
0.743 0.080 0.486
0.000 0.998 0.000
```

Values from the calculation:
DOS at the Fermi energy	7.55	states/eV per cell
symmetry	Imm2

=====

Run B
Below is a geometry-optimized Eu3Lu structure, with properties calculated at the PBE level.

```
Eu3Lu
1.0
-4.964 -2.134 -2.521
-0.241 -0.794 -5.905
-0.059 -5.515 -2.267
Eu Lu
3 1
Direct
0.000 0.000 0.000
0.750 0.750 0.750
0.250 0.250 0.250
0.500 0.500 0.500
```

Values from the calculation:
DOS at the Fermi energy	3.69	states/eV per cell
symmetry	Fm-3m

=====

Result of the stability comparison: run A is the most stable of them.